Material: Sm5Ru2Rh
Method: DFT, PBE
State: optimized geometry

Values from the calculation:
Volume   24.8 Å³/atom
Formation energy from the elements   -0.361 eV per atom
E   -104.77 eV/cell

Structure (POSCAR):
```
Sm5Ru2Rh
1.0
-0.001 5.906 -4.668
-0.644 -4.651 -5.884
-6.666 -0.256 5.748
Sm Ru Rh
10 4 2
Direct
0.532 0.685 0.717
0.815 0.968 0.283
0.000 0.000 0.000
0.500 0.500 0.000
0.185 0.032 0.717
0.685 0.185 0.717
0.032 0.532 0.717
0.315 0.815 0.283
0.968 0.468 0.283
0.468 0.315 0.283
0.126 0.374 0.000
0.626 0.126 0.000
0.374 0.874 0.000
0.874 0.626 0.000
0.750 0.750 0.500
0.250 0.250 0.500
```